# KZrMo

A relaxed KZrMo crystal (PBE, Alexandria via LeMat-Bulk).

As for the calculated formation energy: 1.871 eV per atom.

It has space group F-43m (No. 216), with a = 6.9120 Å, b = 6.9120 Å, c = 6.9120 Å, α = 90.00°, β = 90.00° and γ = 90.00°. Symmetry generates all atoms from K at (0.0000, 0.0000, 0.0000), Zr at (0.0000, 0.0000, 0.5000) and Mo at (0.2500, 0.2500, 0.7500).

# Mo2PbAu

A relaxed Mo2PbAu crystal (PBE, Alexandria via LeMat-Bulk).

As for the calculated formation energy: 0.627 eV per atom.

It has space group P4/mmm (No. 123), with a = 4.0369 Å, b = 4.0369 Å, c = 4.4834 Å, α = 90.00°, β = 90.00° and γ = 90.00°. Symmetry generates all atoms from Mo at (0.0000, 0.5000, 0.0000), Pb at (0.0000, 0.0000, 0.5000) and Au at (0.5000, 0.5000, 0.5000).

# Y2Tc2As

A relaxed Y2Tc2As crystal (PBE, Alexandria via LeMat-Bulk).

As for the calculated formation energy: -0.262 eV per atom.

It has space group P4/mbm (No. 127), with a = 6.6583 Å, b = 6.6583 Å, c = 4.6495 Å, α = 90.00°, β = 90.00° and γ = 90.00°. Symmetry generates all atoms from Y at (0.1767, 0.3233, 0.0000), Tc at (0.1255, 0.6255, 0.5000) and As at (0.0000, 0.0000, 0.5000).

# Ba5La4

A relaxed Ba5La4 crystal (PBE, Alexandria via LeMat-Bulk).

As for the calculated formation energy: 0.129 eV per atom.

It has space group I4/mmm (No. 139), with a = 12.5716 Å, b = 12.5716 Å, c = 5.5233 Å, α = 90.00°, β = 90.00° and γ = 90.00°. Symmetry generates all atoms from Ba at (0.0000, 0.0000, 0.0000), Ba at (0.1707, 0.1707, 0.5000) and La at (0.0000, 0.3596, 0.0000).

# Tb2YMn

A relaxed Tb2YMn crystal (PBE, Alexandria via LeMat-Bulk).

As for the calculated formation energy: 0.250 eV per atom.

It has space group R-3m (No. 166, hexagonal axes), with a = 3.4938 Å, b = 3.4938 Å, c = 31.5717 Å, α = 90.00°, β = 90.00° and γ = 120.00°. Symmetry generates all atoms from Tb at (0.0000, 0.0000, 0.2388), Y at (0.0000, 0.0000, 0.0000) and Mn at (0.0000, 0.0000, 0.5000).

# Cs2NaAsO4

A relaxed Cs2NaAsO4 crystal (PBE, Alexandria via LeMat-Bulk).

The uncorrected formation energy is -1.570 eV per atom.

It has space group Fddd (No. 70, origin choice 2), with a = 5.5539 Å, b = 12.3874 Å, c = 22.3930 Å, α = 90.00°, β = 90.00° and γ = 90.00°. Symmetry generates all atoms from Cs at (0.1250, 0.1250, 0.3008), Na at (0.1250, 0.1250, 0.1250), As at (0.1250, 0.1250, 0.6250) and O at (0.0596, 0.2922, 0.8321).

# Pu3Sb2

A relaxed Pu3Sb2 crystal (PBE, Alexandria via LeMat-Bulk).

The uncorrected formation energy is -0.388 eV per atom.

It has space group I-43d (No. 220), with a = 10.7199 Å, b = 10.7199 Å, c = 10.7199 Å, α = 90.00°, β = 90.00° and γ = 90.00°. Symmetry generates all atoms from Pu at (0.0000, 0.2500, 0.0182) and Sb at (0.0359, 0.4641, 0.5359).

# Tl4AuSe5

A relaxed Tl4AuSe5 crystal (PBE, Alexandria via LeMat-Bulk).

The uncorrected formation energy is -0.194 eV per atom.

It has space group I4/m (No. 87), with a = 9.3101 Å, b = 9.3101 Å, c = 6.0854 Å, α = 90.00°, β = 90.00° and γ = 90.00°. Symmetry generates all atoms from Tl at (0.0873, 0.3029, 0.0000), Au at (0.0000, 0.0000, 0.5000), Se at (0.0000, 0.0000, 0.0000) and Se at (0.0953, 0.2730, 0.5000).

# Sm2TiZn2Pt5

A relaxed Sm2TiZn2Pt5 crystal (PBE, Alexandria via LeMat-Bulk).

As for the calculated formation energy: -0.876 eV per atom.

It has space group P4/mbm (No. 127), with a = 9.8069 Å, b = 9.8069 Å, c = 3.7520 Å, α = 90.00°, β = 90.00° and γ = 90.00°. Symmetry generates all atoms from Sm at (0.1750, 0.3250, 0.0000), Ti at (0.0000, 0.0000, 0.0000), Zn at (0.1236, 0.6236, 0.0000), Pt at (0.0000, 0.5000, 0.5000) and Pt at (0.0598, 0.7998, 0.5000).

# BaAgPb2

A relaxed BaAgPb2 crystal (PBE, Alexandria via LeMat-Bulk).

As for the calculated formation energy: -0.152 eV per atom.

It has space group Fm-3m (No. 225), with a = 7.9246 Å, b = 7.9246 Å, c = 7.9246 Å, α = 90.00°, β = 90.00° and γ = 90.00°. Symmetry generates all atoms from Ba at (0.0000, 0.0000, 0.0000), Ag at (0.0000, 0.0000, 0.5000) and Pb at (0.2500, 0.2500, 0.2500).

# Y2Mo

A relaxed Y2Mo crystal (PBE, Alexandria via LeMat-Bulk).

As for the calculated formation energy: 0.352 eV per atom.

It has space group Cmcm (No. 63), with a = 3.6510 Å, b = 16.3246 Å, c = 5.1032 Å, α = 90.00°, β = 90.00° and γ = 90.00°. Symmetry generates all atoms from Y at (0.0000, 0.0852, 0.2500), Y at (0.0000, 0.2057, 0.7500) and Mo at (0.0000, 0.4534, 0.2500).

# Sr2GaCuSe5

A relaxed Sr2GaCuSe5 crystal (PBE, Alexandria via LeMat-Bulk).

The uncorrected formation energy is -1.021 eV per atom.

It has space group Cmc2_1 (No. 36), with a = 4.0333 Å, b = 19.5715 Å, c = 12.3376 Å, α = 90.00°, β = 90.00° and γ = 90.00°. Symmetry generates all atoms from Sr at (0.0000, 0.1007, 0.0000), Sr at (0.0000, 0.1150, 0.3469), Ga at (0.0000, 0.4274, 0.1608), Cu at (0.0000, 0.2339, 0.7486), Se at (0.0000, 0.0386, 0.7621), Se at (0.0000, 0.2782, 0.3706), Se at (0.0000, 0.3015, 0.1446), Se at (0.0000, 0.3574, 0.6728) and Se at (0.0000, 0.4732, 0.9812).

# Ac4LaY

A relaxed Ac4LaY crystal (PBE, Alexandria via LeMat-Bulk).

As for the calculated formation energy: 0.313 eV per atom.

It has space group F-43m (No. 216), with a = 10.1581 Å, b = 10.1581 Å, c = 10.1581 Å, α = 90.00°, β = 90.00° and γ = 90.00°. Symmetry generates all atoms from Ac at (0.1242, 0.1242, 0.1242), La at (0.0000, 0.0000, 0.5000) and Y at (0.2500, 0.2500, 0.7500).

# SrHgIr2

A relaxed SrHgIr2 crystal (PBE, Alexandria via LeMat-Bulk).

As for the calculated formation energy: 0.372 eV per atom.

It has space group P4/mmm (No. 123), with a = 4.2721 Å, b = 4.2721 Å, c = 4.2941 Å, α = 90.00°, β = 90.00° and γ = 90.00°. Symmetry generates all atoms from Sr at (0.0000, 0.0000, 0.0000), Hg at (0.5000, 0.5000, 0.0000) and Ir at (0.0000, 0.5000, 0.5000).

# HgPt2W

A relaxed HgPt2W crystal (PBE, Alexandria via LeMat-Bulk).

As for the calculated formation energy: 0.346 eV per atom.

It has space group P2/m (No. 10), with a = 5.0105 Å, b = 2.7938 Å, c = 5.2184 Å, α = 90.00°, β = 112.32° and γ = 90.00°. Symmetry generates all atoms from Hg at (0.0000, 0.0000, 0.0000), Pt at (0.5000, 0.0000, 0.5000), Pt at (0.5000, 0.5000, 0.0000) and W at (0.0000, 0.5000, 0.5000).

# Rb3Ba2OsO6

A relaxed Rb3Ba2OsO6 crystal (PBE, Alexandria via LeMat-Bulk).

The uncorrected formation energy is -1.636 eV per atom.

It has space group C2/m (No. 12), with a = 6.4703 Å, b = 11.2423 Å, c = 6.8044 Å, α = 90.00°, β = 108.32° and γ = 90.00°. Symmetry generates all atoms from Rb at (0.0000, 0.0000, 0.0000), Rb at (0.0000, 0.3420, 0.0000), Ba at (0.0000, 0.1674, 0.5000), Os at (0.0000, 0.5000, 0.5000), O at (0.1902, 0.3704, 0.6811) and O at (0.2016, 0.5000, 0.3192).

# Os2RhSe

A relaxed Os2RhSe crystal (PBE, Alexandria via LeMat-Bulk).

The uncorrected formation energy is 0.806 eV per atom.

It has space group Cmmm (No. 65), with a = 2.7377 Å, b = 4.7279 Å, c = 9.5361 Å, α = 90.00°, β = 90.00° and γ = 90.00°. Symmetry generates all atoms from Os at (0.0000, 0.0000, 0.2430), Rh at (0.0000, 0.5000, 0.0000) and Se at (0.0000, 0.5000, 0.5000).

# Ca2TaAs

A relaxed Ca2TaAs crystal (PBE, Alexandria via LeMat-Bulk).

As for the calculated formation energy: 0.320 eV per atom.

It has space group I-42d (No. 122), with a = 10.2059 Å, b = 10.2059 Å, c = 4.9887 Å, α = 90.00°, β = 90.00° and γ = 90.00°. Symmetry generates all atoms from Ca at (0.1170, 0.2500, 0.1250), Ta at (0.0000, 0.0000, 0.5000) and As at (0.0000, 0.0000, 0.0000).

# Sm5Sb2Au

A relaxed Sm5Sb2Au crystal (PBE, Alexandria via LeMat-Bulk).

The uncorrected formation energy is -0.490 eV per atom.

It has space group Cmcm (No. 63), with a = 6.0158 Å, b = 11.9696 Å, c = 14.7679 Å, α = 90.00°, β = 90.00° and γ = 90.00°. Symmetry generates all atoms from Sm at (0.0000, 0.0680, 0.1088), Sm at (0.0000, 0.3372, 0.7500), Sm at (0.0000, 0.3777, 0.0694), Sb at (0.0000, 0.1926, 0.5818) and Au at (0.0000, 0.2475, 0.2500).

# BaY2Cl

A relaxed BaY2Cl crystal (PBE, Alexandria via LeMat-Bulk).

The uncorrected formation energy is -0.385 eV per atom.

It has space group Cmmm (No. 65), with a = 3.7527 Å, b = 6.3716 Å, c = 11.0876 Å, α = 90.00°, β = 90.00° and γ = 90.00°. Symmetry generates all atoms from Ba at (0.0000, 0.0000, 0.0000), Y at (0.0000, 0.5000, 0.2946) and Cl at (0.0000, 0.0000, 0.5000).

# TaTl2Rh

A relaxed TaTl2Rh crystal (PBE, Alexandria via LeMat-Bulk).

As for the calculated formation energy: 0.505 eV per atom.

It has space group P4/mmm (No. 123), with a = 4.2817 Å, b = 4.2817 Å, c = 4.2743 Å, α = 90.00°, β = 90.00° and γ = 90.00°. Symmetry generates all atoms from Ta at (0.0000, 0.0000, 0.0000), Tl at (0.0000, 0.5000, 0.5000) and Rh at (0.5000, 0.5000, 0.0000).

# SbPbI2Br

A relaxed SbPbI2Br crystal (PBE, Alexandria via LeMat-Bulk).

The uncorrected formation energy is 0.300 eV per atom.

It has space group P4/mmm (No. 123), with a = 6.0340 Å, b = 6.0340 Å, c = 6.2573 Å, α = 90.00°, β = 90.00° and γ = 90.00°. Symmetry generates all atoms from Sb at (0.0000, 0.0000, 0.0000), Pb at (0.0000, 0.0000, 0.5000), I at (0.0000, 0.5000, 0.5000) and Br at (0.5000, 0.5000, 0.0000).

# Ba7Ag2N2

A relaxed Ba7Ag2N2 crystal (PBE, Alexandria via LeMat-Bulk).

The uncorrected formation energy is -0.126 eV per atom.

It has space group Cmmm (No. 65), with a = 8.2483 Å, b = 12.7611 Å, c = 7.4731 Å, α = 90.00°, β = 90.00° and γ = 90.00°. Symmetry generates all atoms from Ba at (0.0000, 0.0000, 0.0000), Ba at (0.0000, 0.5000, 0.2235), Ba at (0.2500, 0.2500, 0.2344), Ag at (0.1674, 0.0000, 0.5000) and N at (0.0000, 0.3145, 0.0000).

E: -4.95, -6.54, -7.92, -3.13, -5.97, -5.01, -10.64, -3.21, -5.88, -3.20, -7.57, -4.12, -4.32, -4.55, -5.99, -5.61, -7.52, -4.81, -4.88, -4.56, -5.48, -2.22, -3.38 (eV/atom)